NbBiMo2Pt: relaxed, GGA-PBEsol.

V	110.29	Å³ per cell
ΔE_f	1.463	eV per atom
symmetry	P4/mmm

Cell: 4.695 4.695 5.003 Å, 90.00 90.00 90.00°
Atoms (fractional coordinates):
Nb  0.000  0.000  0.000
Bi  0.500  0.500  0.500
Mo  0.000  0.500  0.000
Mo  0.500  0.000  0.000
Pt  0.000  0.000  0.500

=====

ScOsCl4: relaxed, GGA-PBEsol.

ΔE_f (raw)	5.7	eV per formula unit
V	117.42	Å³ per cell
symmetry	F-43m

Cell: 5.496 5.496 5.496 Å, 60.00 60.00 60.00°
Atoms (fractional coordinates):
Sc  0.000  0.000  0.000
Os  0.250  0.250  0.250
Cl  0.126  0.625  0.625
Cl  0.625  0.126  0.625
Cl  0.625  0.625  0.126
Cl  0.625  0.625  0.625

=====

Tc2PbS: relaxed, GGA-PBEsol.

ΔE_f (raw)	2.6	eV per formula unit
V	62.81	Å³ per cell
symmetry	Fm-3m

Cell: 4.462 4.462 4.462 Å, 60.00 60.00 60.00°
Atoms (fractional coordinates):
Tc  0.250  0.250  0.250
Tc  0.750  0.750  0.750
Pb  0.000  0.000  0.000
S  0.500  0.500  0.500

=====

TbInCo2: relaxed, GGA-PBEsol.

V	136.91	Å³ per cell
ΔE_f	-0.276	eV per atom
symmetry	Pmma

Cell: 4.952 3.939 7.018 Å, 90.00 90.00 90.00°
Atoms (fractional coordinates):
Tb  0.250  0.000  0.222
Tb  0.750  0.000  0.778
In  0.250  0.500  0.849
In  0.750  0.500  0.151
Co  0.000  0.500  0.500
Co  0.250  0.000  0.591
Co  0.500  0.500  0.500
Co  0.750  0.000  0.409

=====

PPb2Cl: relaxed, GGA-PBEsol.

ΔE_f (raw)	-1.6	eV per formula unit
V	107.42	Å³ per cell
symmetry	R-3m
distance to the lowest polymorph of the same formula	0.00	eV per formula unit

Cell: 7.477 7.477 7.477 Å, 32.52 32.52 32.52°
Atoms (fractional coordinates):
P  0.000  0.000  0.000
Pb  0.261  0.261  0.261
Pb  0.739  0.739  0.739
Cl  0.500  0.500  0.500

=====

LiLaTl3: relaxed, GGA-PBEsol.

V	219.96	Å³ per cell
ΔE_f	0.532	eV per atom
symmetry	Pm-3m

Cell: 6.036 6.036 6.036 Å, 90.00 90.00 90.00°
Atoms (fractional coordinates):
Li  0.000  0.000  0.000
La  0.500  0.500  0.500
Tl  0.000  0.500  0.500
Tl  0.500  0.000  0.500
Tl  0.500  0.500  0.000

=====

Tb3Co2Ge4: relaxed, GGA-PBEsol.

V	163.32	Å³ per cell
ΔE_f	-0.784	eV per atom
symmetry	C2/m

Cell: 5.659 5.659 7.923 Å, 106.31 106.31 42.46°
Atoms (fractional coordinates):
Tb  0.000  0.000  0.000
Tb  0.378  0.378  0.308
Tb  0.622  0.622  0.692
Co  0.306  0.306  0.627
Co  0.694  0.694  0.373
Ge  0.099  0.099  0.399
Ge  0.290  0.290  0.919
Ge  0.710  0.710  0.081
Ge  0.901  0.901  0.601

=====

Sc3GaTc: relaxed, GGA-PBEsol.

V	116.11	Å³ per cell
ΔE_f	0.790	eV per atom
symmetry	Pm-3m

Cell: 4.879 4.879 4.879 Å, 90.00 90.00 90.00°
Atoms (fractional coordinates):
Sc  0.000  0.000  0.500
Sc  0.000  0.500  0.000
Sc  0.500  0.000  0.000
Ga  0.000  0.000  0.000
Tc  0.500  0.500  0.500

=====

Ti2C: relaxed, GGA-PBEsol.

V	156.51	Å³ per cell
ΔE_f	-0.692	eV per atom
symmetry	Fd-3m

Cell: 6.049 6.049 6.049 Å, 60.00 60.00 60.00°
Atoms (fractional coordinates):
Ti  0.232  0.756  0.756
Ti  0.244  0.244  0.244
Ti  0.244  0.244  0.768
Ti  0.244  0.768  0.244
Ti  0.756  0.232  0.756
Ti  0.756  0.756  0.232
Ti  0.756  0.756  0.756
Ti  0.768  0.244  0.244
C  0.000  0.000  0.000
C  0.000  0.000  0.500
C  0.000  0.500  0.000
C  0.500  0.000  0.000

=====

Na2Ho2B2TeO10: relaxed, GGA-PBEsol.

ΔE_f (raw)	-42.2	eV per formula unit
V	404.83	Å³ per cell
symmetry	P2_1/c

Cell: 6.293 9.885 6.698 Å, 90.00 103.71 90.00°
Atoms (fractional coordinates):
Na  0.085  0.112  0.170
Na  0.085  0.388  0.670
Na  0.915  0.612  0.330
Na  0.915  0.888  0.830
Ho  0.374  0.667  0.977
Ho  0.374  0.833  0.477
Ho  0.626  0.167  0.523
Ho  0.626  0.333  0.023
B  0.163  0.098  0.628
B  0.163  0.402  0.128
B  0.837  0.598  0.872
B  0.837  0.902  0.372
Te  0.500  0.000  0.000
Te  0.500  0.500  0.500
O  0.022  0.671  0.947
O  0.022  0.829  0.447
O  0.207  0.061  0.839
O  0.207  0.439  0.339
O  0.304  0.060  0.510
O  0.304  0.440  0.010
O  0.339  0.618  0.637
O  0.339  0.882  0.137
O  0.493  0.151  0.179
O  0.493  0.349  0.679
O  0.507  0.651  0.321
O  0.507  0.849  0.821
O  0.661  0.118  0.863
O  0.661  0.382  0.363
O  0.696  0.560  0.990
O  0.696  0.940  0.490
O  0.793  0.561  0.661
O  0.793  0.939  0.161
O  0.978  0.171  0.553
O  0.978  0.329  0.053

=====

LaCePt2: relaxed, GGA-PBEsol.

V	93.34	Å³ per cell
ΔE_f	-1.026	eV per atom
symmetry	Amm2

Cell: 4.400 5.843 5.843 Å, 38.42 90.00 90.00°
Atoms (fractional coordinates):
La  0.000  0.000  0.000
Ce  0.500  0.271  0.271
Pt  0.000  0.733  0.733
Pt  0.500  0.548  0.548

=====

InMoS2N: relaxed, GGA-PBEsol.

ΔE_f (raw)	4.5	eV per formula unit
V	111.32	Å³ per cell
symmetry	P4/mmm

Cell: 4.494 4.494 5.512 Å, 90.00 90.00 90.00°
Atoms (fractional coordinates):
In  0.000  0.000  0.000
Mo  0.000  0.000  0.500
S  0.000  0.500  0.500
S  0.500  0.000  0.500
N  0.500  0.500  0.000

=====

TaZn5: relaxed, GGA-PBEsol.

V	87.86	Å³ per cell
ΔE_f	0.043	eV per atom
symmetry	Cm

Cell: 5.324 5.324 6.760 Å, 104.76 104.76 28.38°
Atoms (fractional coordinates):
Ta  0.000  0.000  0.000
Zn  0.057  0.057  0.618
Zn  0.332  0.332  0.658
Zn  0.388  0.388  0.281
Zn  0.667  0.667  0.348
Zn  0.727  0.727  0.950

=====

IrRuRh: relaxed, GGA-PBEsol.

V	40.79	Å³ per cell
ΔE_f	-0.006	eV per atom
symmetry	P3m1
distance to the lowest polymorph of the same formula	0.06	eV per formula unit

Cell: 2.677 2.677 6.572 Å, 90.00 90.00 120.00°
Atoms (fractional coordinates):
Ir  0.000  0.000  0.000
Ru  0.667  0.333  0.328
Rh  0.333  0.667  0.657

=====

RbMoNO2: relaxed, GGA-PBEsol.

ΔE_f (raw)	-0.4	eV per formula unit
V	111.07	Å³ per cell
symmetry	P4/mmm

Cell: 3.803 3.803 7.678 Å, 90.00 90.00 90.00°
Atoms (fractional coordinates):
Rb  0.000  0.000  0.000
Mo  0.000  0.000  0.500
N  0.500  0.500  0.000
O  0.000  0.500  0.500
O  0.500  0.000  0.500

=====

Zr2CrCu: relaxed, GGA-PBEsol.

V	70.44	Å³ per cell
ΔE_f	0.438	eV per atom
symmetry	R3m

Cell: 9.086 9.086 9.086 Å, 19.13 19.13 19.13°
Atoms (fractional coordinates):
Zr  0.000  0.000  0.000
Zr  0.233  0.233  0.233
Cr  0.747  0.747  0.747
Cu  0.484  0.484  0.484

=====

Sc7Zn: relaxed, GGA-PBEsol.

V	176.87	Å³ per cell
ΔE_f	0.009	eV per atom
symmetry	Fm-3m

Cell: 6.301 6.301 6.301 Å, 60.00 60.00 60.00°
Atoms (fractional coordinates):
Sc  0.000  0.000  0.000
Sc  0.000  0.000  0.500
Sc  0.000  0.500  0.000
Sc  0.000  0.500  0.500
Sc  0.500  0.000  0.000
Sc  0.500  0.000  0.500
Sc  0.500  0.500  0.000
Zn  0.500  0.500  0.500

=====

La3SbO: relaxed, GGA-PBEsol.

ΔE_f (raw)	-8.3	eV per formula unit
V	122.02	Å³ per cell
symmetry	Pm-3m
distance to the lowest polymorph of the same formula	0.00	eV per formula unit

Cell: 4.960 4.960 4.960 Å, 90.00 90.00 90.00°
Atoms (fractional coordinates):
La  0.000  0.000  0.500
La  0.000  0.500  0.000
La  0.500  0.000  0.000
Sb  0.500  0.500  0.500
O  0.000  0.000  0.000

=====

Li2CdPb: relaxed, GGA-PBEsol.

V	77.78	Å³ per cell
ΔE_f	-0.273	eV per atom
symmetry	P4/mmm
distance to the lowest polymorph of the same formula	0.06	eV per formula unit

Cell: 3.414 3.414 6.672 Å, 90.00 90.00 90.00°
Atoms (fractional coordinates):
Li  0.000  0.000  0.238
Li  0.000  0.000  0.762
Cd  0.500  0.500  0.000
Pb  0.500  0.500  0.500

=====

CuRe2Si: relaxed, GGA-PBEsol.

ΔE_f (raw)	0.5	eV per formula unit
V	52.17	Å³ per cell
symmetry	P4/mmm

Cell: 2.938 2.938 6.043 Å, 90.00 90.00 90.00°
Atoms (fractional coordinates):
Cu  0.000  0.000  0.000
Re  0.500  0.500  0.267
Re  0.500  0.500  0.733
Si  0.000  0.000  0.500

=====

NaSnSb2Ir: relaxed, GGA-PBEsol.

ΔE_f (raw)	1.2	eV per formula unit
V	141.33	Å³ per cell
symmetry	P4/mmm

Cell: 5.273 5.273 5.084 Å, 90.00 90.00 90.00°
Atoms (fractional coordinates):
Na  0.000  0.000  0.000
Sn  0.500  0.500  0.000
Sb  0.000  0.500  0.500
Sb  0.500  0.000  0.500
Ir  0.500  0.500  0.500

=====

Sr3GeO5: relaxed, GGA-PBEsol.

ΔE_f (raw)	-23.2	eV per formula unit
V	263.45	Å³ per cell
symmetry	I4cm
distance to the lowest polymorph of the same formula	0.18	eV per formula unit

Cell: 7.426 7.426 7.426 Å, 125.19 125.19 81.23°
Atoms (fractional coordinates):
Sr  0.000  0.000  0.000
Sr  0.059  0.559  0.140
Sr  0.419  0.919  0.860
Sr  0.500  0.500  0.000
Sr  0.559  0.419  0.500
Sr  0.919  0.059  0.500
Ge  0.487  0.987  0.500
Ge  0.987  0.487  0.500
O  0.031  0.531  0.784
O  0.226  0.226  0.000
O  0.227  0.444  0.500
O  0.248  0.031  0.500
O  0.444  0.944  0.217
O  0.531  0.748  0.500
O  0.726  0.726  0.000
O  0.727  0.227  0.783
O  0.748  0.248  0.216
O  0.944  0.727  0.500

=====

Li3YBi2: relaxed, GGA-PBEsol.

V	132.04	Å³ per cell
ΔE_f	-0.706	eV per atom
symmetry	P-3m1

Cell: 4.607 4.607 7.183 Å, 90.00 90.00 120.00°
Atoms (fractional coordinates):
Li  0.000  0.000  0.000
Li  0.333  0.667  0.153
Li  0.667  0.333  0.847
Y  0.000  0.000  0.500
Bi  0.333  0.667  0.746
Bi  0.667  0.333  0.254

=====

NbAl6Mo: relaxed, GGA-PBEsol.

V	121.91	Å³ per cell
ΔE_f	-0.344	eV per atom
symmetry	P4/mmm

Cell: 3.804 3.804 8.423 Å, 90.00 90.00 90.00°
Atoms (fractional coordinates):
Nb  0.000  0.000  0.000
Al  0.000  0.000  0.500
Al  0.000  0.500  0.254
Al  0.000  0.500  0.746
Al  0.500  0.000  0.254
Al  0.500  0.000  0.746
Al  0.500  0.500  0.000
Mo  0.500  0.500  0.500

=====

MgGe2TeP: relaxed, GGA-PBEsol.

ΔE_f (raw)	5.1	eV per formula unit
V	147.61	Å³ per cell
symmetry	P4/mmm

Cell: 5.371 5.371 5.117 Å, 90.00 90.00 90.00°
Atoms (fractional coordinates):
Mg  0.000  0.000  0.000
Ge  0.000  0.500  0.500
Ge  0.500  0.000  0.500
Te  0.000  0.000  0.500
P  0.500  0.500  0.000

=====

SbOsPt2: relaxed, GGA-PBEsol.

ΔE_f (raw)	1.0	eV per formula unit
V	63.97	Å³ per cell
symmetry	I-4m2

Cell: 4.730 4.730 4.730 Å, 127.91 127.91 76.78°
Atoms (fractional coordinates):
Sb  0.000  0.000  0.000
Os  0.750  0.250  0.500
Pt  0.250  0.750  0.500
Pt  0.500  0.500  0.000